<one>
## KCu2Pt (PBEsol)

Data for a relaxed structure of KCu2Pt.

The structure in extended XYZ format:
```
4
Lattice="2.774 0.000 0.000 0.000 3.765 0.000 0.000 0.000 6.927" Properties=species:S:1:pos:R:3 pbc="T T T"
K 1.387 1.883 0.000
Cu 0.000 0.000 2.302
Cu 0.000 0.000 4.625
Pt 1.387 1.883 3.464
```

***

<two>
## KCu2Pt (PBEsol)

Data for a relaxed structure of KCu2Pt.

The structure in extended XYZ format:
```
4
Lattice="2.785 0.000 0.000 1.392 2.412 0.000 1.392 0.804 9.629" Properties=species:S:1:pos:R:3 pbc="T T T"
Cu 4.177 2.412 6.890
Cu 1.392 0.804 2.739
Pt 2.785 1.608 4.814
K 0.000 0.000 0.000
```

***

<three>
## KCu2Pt (PBEsol)

Data for a relaxed structure of KCu2Pt.

The structure in extended XYZ format:
```
4
Lattice="2.674 0.000 0.000 0.000 5.309 0.000 -1.337 -2.654 5.175" Properties=species:S:1:pos:R:3 pbc="T T T"
Cu 0.000 0.000 3.028
Cu 1.337 2.654 2.148
K 1.337 0.000 0.000
Pt 0.000 2.654 0.000
```

***

Which structure is the most stable? The one labeled <one>.

***

<one>
## KCuSb (PBEsol)

Data for a relaxed structure of KCuSb.

The structure in extended XYZ format:
```
3
Lattice="4.326 0.000 0.000 -2.163 3.746 0.000 0.000 0.000 5.290" Properties=species:S:1:pos:R:3 pbc="T T T"
Cu 0.000 0.000 2.645
K 0.000 2.498 0.000
Sb 2.163 1.249 2.645
```

***

<two>
## KCuSb (PBEsol)

Data for a relaxed structure of KCuSb.

The structure in extended XYZ format:
```
3
Lattice="4.758 0.000 0.000 2.379 4.121 0.000 2.379 1.374 3.885" Properties=species:S:1:pos:R:3 pbc="T T T"
Sb 4.758 2.747 1.942
K 0.000 0.000 0.000
Cu 2.379 1.374 0.971
```

***

Which structure is the most stable? The one labeled <one>.

***

<one>
## KCuSb2 (PBEsol)

Data for a relaxed structure of KCuSb2.

The structure in extended XYZ format:
```
4
Lattice="4.521 0.000 0.000 0.000 4.521 0.000 -2.261 -2.261 4.822" Properties=species:S:1:pos:R:3 pbc="T T T"
Sb 0.000 2.261 2.411
Sb 2.261 0.000 2.411
K 0.000 0.000 0.000
Cu 2.261 2.261 0.000
```

***

<two>
## KCuSb2 (PBEsol)

Data for a relaxed structure of KCuSb2.

The structure in extended XYZ format:
```
4
Lattice="5.215 0.000 0.000 2.608 4.517 0.000 2.608 1.506 4.258" Properties=species:S:1:pos:R:3 pbc="T T T"
Sb 0.000 0.000 0.000
Sb 7.823 4.517 3.194
Cu 5.215 3.011 2.129
K 2.608 1.506 1.065
```

***

Which structure is the most stable? The one labeled <one>.